Record 1
AcNdNi | Alexandria via LeMat-Bulk | GGA-PBE | relaxed; energy relative to the lowest polymorph listed for this composition = 206.1 meV per atom; spin magnetization = 0.0 Bohr magnetons per cell; energy of formation from the pure elements = 0.04 eV/f.u.
1.0
5.060 0.000 0.000
2.530 4.382 0.000
2.530 1.461 4.131
Ni Ac Nd
1 1 1
direct
0.250 0.250 0.250
0.000 0.000 0.000
0.500 0.500 0.500

Record 2
AcNd2Ni6 | Alexandria via LeMat-Bulk | GGA-PBE | relaxed; spin magnetization = 0.6 Bohr magnetons per cell; energy of formation from the pure elements = -2.63 eV/f.u.
1.0
4.064 0.000 0.000
0.000 6.094 -3.518
0.000 0.000 7.036
Ac Nd Ni
1 2 6
direct
0.000 0.000 0.000
0.000 0.333 0.667
0.000 0.667 0.333
0.500 0.336 0.336
0.500 0.664 0.664
0.500 0.000 0.664
0.500 0.664 0.000
0.500 0.336 0.000
0.500 0.000 0.336

Record 3
AcNdNi | Alexandria via LeMat-Bulk | GGA-PBE | relaxed; energy relative to the lowest polymorph listed for this composition = 115.1 meV per atom; spin magnetization = 0.0 Bohr magnetons per cell; energy of formation from the pure elements = -0.23 eV/f.u.
1.0
3.649 0.000 0.000
0.000 3.649 0.000
-1.825 -1.825 6.612
Ni Ac Nd
1 1 1
direct
0.657 0.657 0.314
0.300 0.300 0.600
0.043 0.043 0.085

Record 4
AcNdNi | Alexandria via LeMat-Bulk | GGA-PBE | relaxed; energy relative to the lowest polymorph listed for this composition = 79.4 meV per atom; spin magnetization = 0.0 Bohr magnetons per cell; energy of formation from the pure elements = -0.34 eV/f.u.
1.0
4.107 0.000 0.000
-2.054 3.557 0.000
0.000 0.000 6.627
Ni Ac Nd
1 1 1
direct
0.667 0.333 0.324
0.333 0.667 0.582
0.000 0.000 0.094

Record 5
AcNdNi4 | Alexandria via LeMat-Bulk | GGA-PBE | relaxed; energy relative to the lowest polymorph listed for this composition = 47.4 meV per atom; spin magnetization = 0.0 Bohr magnetons per cell; energy of formation from the pure elements = -1.39 eV/f.u.
1.0
5.264 0.000 0.000
2.632 4.559 0.000
2.632 1.520 4.298
Ni Ac Nd
4 1 1
direct
0.625 0.625 0.126
0.625 0.126 0.625
0.625 0.625 0.625
0.126 0.625 0.625
0.000 0.000 0.000
0.250 0.250 0.250

Record 6
AcNdNi2 | Alexandria via LeMat-Bulk | GGA-PBE | relaxed; energy relative to the lowest polymorph listed for this composition = 155.7 meV per atom; spin magnetization = 0.0 Bohr magnetons per cell; energy of formation from the pure elements = -0.48 eV/f.u.
1.0
4.109 0.000 0.000
2.054 3.558 0.000
2.054 1.186 6.976
Ac Nd Ni
1 1 2
direct
0.671 0.671 0.988
0.497 0.497 0.509
0.091 0.091 0.728
0.242 0.242 0.275

Record 7
AcNd3Ni | Alexandria via LeMat-Bulk | GGA-PBE | relaxed; energy relative to the lowest polymorph listed for this composition = 0.0 meV per atom; spin magnetization = 0.0 Bohr magnetons per cell; energy of formation from the pure elements = -0.22 eV/f.u.
1.0
7.817 0.000 0.000
0.000 8.361 -0.108
0.000 -2.913 9.809
Ac Nd Ni
4 12 4
direct
0.940 0.674 0.248
0.060 0.326 0.752
0.440 0.326 0.252
0.560 0.674 0.748
0.132 0.071 0.383
0.868 0.929 0.617
0.632 0.929 0.117
0.368 0.071 0.883
0.488 0.793 0.391
0.512 0.207 0.609
0.988 0.207 0.109
0.012 0.793 0.891
0.191 0.594 0.537
0.809 0.406 0.463
0.691 0.406 0.963
0.309 0.594 0.037
0.247 0.949 0.603
0.753 0.051 0.397
0.747 0.051 0.897
0.253 0.949 0.103

Record 8
AcNdNi2 | Alexandria via LeMat-Bulk | GGA-PBE | relaxed; energy relative to the lowest polymorph listed for this composition = 125.8 meV per atom; spin magnetization = 0.0 Bohr magnetons per cell; energy of formation from the pure elements = -0.60 eV/f.u.
1.0
-0.459 -0.765 4.997
-3.033 -3.682 1.736
2.006 -4.149 2.127
Ni Ac Nd
2 1 1
direct
0.250 0.250 0.250
0.750 0.750 0.750
0.000 0.000 0.000
0.500 0.500 0.500

Record 9
AcNdNi4 | Alexandria via LeMat-Bulk | GGA-PBE | relaxed; energy relative to the lowest polymorph listed for this composition = 0.0 meV per atom; spin magnetization = 0.4 Bohr magnetons per cell; energy of formation from the pure elements = -1.68 eV/f.u.
1.0
4.065 -0.002 0.000
0.002 4.098 0.000
0.000 0.000 7.096
Ac Nd Ni
1 1 4
direct
0.999 0.997 0.498
0.998 0.497 0.998
0.499 0.997 0.161
0.499 0.997 0.835
0.499 0.497 0.670
0.499 0.497 0.327

Record 10
AcNdNi | Alexandria via LeMat-Bulk | GGA-PBE | relaxed; energy relative to the lowest polymorph listed for this composition = 9.7 meV per atom; spin magnetization = 0.0 Bohr magnetons per cell; energy of formation from the pure elements = -0.55 eV/f.u.
1.0
-3.782 1.515 -0.196
-2.330 -5.586 1.777
2.840 2.425 6.407
Ac Ni Nd
2 2 2
direct
0.351 0.197 0.702
0.649 0.803 0.298
0.267 0.624 0.535
0.733 0.376 0.465
0.911 0.717 0.823
0.089 0.283 0.177

Record 11
AcNd3Ni2 | Alexandria via LeMat-Bulk | GGA-PBE | relaxed; spin magnetization = 0.0 Bohr magnetons per cell; energy of formation from the pure elements = -1.14 eV/f.u.
1.0
-1.586 2.658 2.586
5.574 -0.095 6.661
5.605 8.447 -2.099
Ac Nd Ni
2 6 4
direct
0.849 0.555 0.747
0.151 0.445 0.253
0.154 0.943 0.749
0.846 0.057 0.251
0.417 0.219 0.947
0.583 0.781 0.053
0.587 0.266 0.560
0.413 0.734 0.440
0.231 0.584 0.953
0.769 0.416 0.047
0.767 0.920 0.546
0.233 0.080 0.454

Record 12
AcNdNi2 | Alexandria via LeMat-Bulk | GGA-PBE | relaxed; energy relative to the lowest polymorph listed for this composition = 114.1 meV per atom; spin magnetization = 0.0 Bohr magnetons per cell; energy of formation from the pure elements = -0.65 eV/f.u.
1.0
3.602 0.000 0.000
0.000 3.602 0.000
0.000 0.000 7.120
Ni Ac Nd
2 1 1
direct
0.000 0.000 0.775
0.000 0.000 0.225
0.500 0.500 0.500
0.500 0.500 0.000

Record 13
Ac3NdNi | Alexandria via LeMat-Bulk | GGA-PBE | relaxed; spin magnetization = 0.0 Bohr magnetons per cell; energy of formation from the pure elements = 0.05 eV/f.u.
1.0
-5.199 2.049 -1.468
1.184 -0.986 -5.568
-2.225 -5.311 0.468
Ni Ac Nd
1 3 1
direct
0.000 0.000 0.000
0.000 0.500 0.000
0.000 0.000 0.500
0.500 0.000 0.000
0.500 0.500 0.500

Record 14
AcNd2Ni4 | Alexandria via LeMat-Bulk | GGA-PBE | relaxed; spin magnetization = 0.0 Bohr magnetons per cell; energy of formation from the pure elements = -2.13 eV/f.u.
1.0
-0.847 2.866 -2.872
-0.970 -2.964 -2.672
-7.477 0.319 5.516
Ac Nd Ni
1 2 4
direct
0.500 0.000 0.000
0.815 0.815 0.630
0.185 0.185 0.370
0.645 0.645 0.290
0.355 0.355 0.710
0.069 0.569 0.138
0.931 0.431 0.862

Record 15
AcNd3Ni | Alexandria via LeMat-Bulk | GGA-PBE | relaxed; energy relative to the lowest polymorph listed for this composition = 29.4 meV per atom; spin magnetization = 0.0 Bohr magnetons per cell; energy of formation from the pure elements = -0.07 eV/f.u.
1.0
5.574 0.000 0.000
0.000 5.574 0.000
0.000 0.000 5.574
Ni Ac Nd
1 1 3
direct
0.000 0.000 0.000
0.500 0.500 0.500
0.000 0.500 0.000
0.000 0.000 0.500
0.500 0.000 0.000

Record 16
AcNdNi | Alexandria via LeMat-Bulk | GGA-PBE | relaxed; energy relative to the lowest polymorph listed for this composition = 26.8 meV per atom; spin magnetization = 0.0 Bohr magnetons per cell; energy of formation from the pure elements = -0.50 eV/f.u.
1.0
3.684 0.557 -1.119
0.367 7.041 -2.070
-0.062 0.418 6.795
Ac Nd Ni
2 2 2
direct
0.080 0.520 0.075
0.736 0.695 0.562
0.489 0.216 0.589
0.327 0.999 0.049
0.793 0.275 0.256
0.023 0.939 0.381

Record 17
AcNdNi2 | Alexandria via LeMat-Bulk | GGA-PBE | relaxed; energy relative to the lowest polymorph listed for this composition = 0.0 meV per atom; spin magnetization = 0.0 Bohr magnetons per cell; energy of formation from the pure elements = -1.11 eV/f.u.
1.0
3.954 0.000 -0.020
0.000 4.342 0.000
-1.933 0.000 5.550
Ac Nd Ni
1 1 2
direct
0.443 0.500 0.426
0.715 0.000 0.968
0.155 0.500 0.849
0.018 0.000 0.575

Record 18
AcNdNi2P2 | Alexandria via LeMat-Bulk | GGA-PBE | relaxed; spin magnetization = 0.0 Bohr magnetons per cell; energy of formation from the pure elements = -6.63 eV/f.u.
1.0
4.027 0.000 0.000
-2.014 3.488 0.000
0.000 0.000 8.354
Ac Nd Ni P
1 1 2 2
direct
0.000 0.000 0.000
0.000 0.000 0.500
0.667 0.333 0.258
0.333 0.667 0.742
0.667 0.333 0.734
0.333 0.667 0.266

Record 19
AcNdNiPb | Alexandria via LeMat-Bulk | GGA-PBE | relaxed; spin magnetization = 0.0 Bohr magnetons per cell; energy of formation from the pure elements = -0.81 eV/f.u.
1.0
-0.701 -4.772 -2.608
3.969 -3.783 0.090
-0.681 -4.620 2.873
Pb Ni Ac Nd
1 1 1 1
direct
0.750 0.750 0.750
0.250 0.250 0.250
0.000 0.000 0.000
0.500 0.500 0.500

Record 20
AcNdNiPd | Alexandria via LeMat-Bulk | GGA-PBE | relaxed; energy relative to the lowest polymorph listed for this composition = 0.0 meV per atom; spin magnetization = 0.0 Bohr magnetons per cell; energy of formation from the pure elements = -2.08 eV/f.u.
1.0
-1.916 -3.158 1.582
3.776 -2.511 -0.438
2.574 3.128 4.260
Ac Nd Ni Pd
1 1 1 1
direct
0.140 0.000 0.280
0.866 0.500 0.733
0.417 0.000 0.835
0.576 0.500 0.152